VASP calculation (GGA-PBE) on an optimized crystal structure of TlSe2O.

a = 4.749 Å, b = 4.749 Å, c = 4.749 Å
α = 60.00°, β = 60.00°, γ = 60.00°
Fractional positions:
1 Tl 0.500 0.500 0.500
2 O 0.000 0.000 0.000
3 Se 0.250 0.250 0.250
4 Se 0.750 0.750 0.750

Volume = 18.94 Å³ per atom
Formation energy without anion corrections = 663 meV per atom
Excess energy over the best structure of this formula in the dataset = 763.1 meV per atom